No. 1
AcTb12Tm6: relaxed, GGA-PBE.

Values from the calculation:
VASP energy ... -4.14 eV/atom
E_form ... 0.4109 eV per atom

a b c (Å): 14.8192 14.8192 10.3500
angles (deg): 90.00 90.00 120.00
Space group R-3m (No. 166, hexagonal axes)
One atom of each set of equivalent atoms:
Ac1 0.0000 0.0000 0.0000 (multiplicity 3)
Tb1 0.0000 0.3880 0.5000 (multiplicity 18)
Tb2 0.0748 0.1497 0.3084 (multiplicity 18)
Tm1 0.0478 0.5239 0.2227 (multiplicity 18)

---

No. 2
MgRh3W: relaxed, GGA-PBE.

Values from the calculation:
VASP energy ... -6.58 eV/atom
E_form ... 0.7409 eV per atom
Energy relative to the lowest polymorph listed for this composition ... 0.00 eV per formula unit

a b c (Å): 4.714 4.714 4.714
angles (deg): 90.00 90.00 90.00
Space group Pm-3m (No. 221)
One atom of each set of equivalent atoms:
Mg1 0.000 0.000 0.000 (multiplicity 1)
Rh1 0.000 0.500 0.500 (multiplicity 3)
W1 0.500 0.500 0.500 (multiplicity 1)

---

No. 3
TaRu4: relaxed, GGA-PBE.

Values from the calculation:
VASP energy ... -7.94 eV/atom
E_form ... 1.8517 eV per atom
Energy relative to the lowest polymorph listed for this composition ... 9.71 eV per formula unit

a b c (Å): 4.662 4.662 4.662
angles (deg): 90.00 90.00 90.00
Space group Pm-3m (No. 221)
One atom of each set of equivalent atoms:
Ta1 0.000 0.000 0.000 (multiplicity 1)
Ru1 0.000 0.000 0.500 (multiplicity 3)
Ru2 0.500 0.500 0.500 (multiplicity 1)

---

No. 4
BeCl2: relaxed, GGA-PBE.

Values from the calculation:
VASP energy ... -3.57 eV/atom
Energy relative to the elements, uncorrected ... -1.096 eV per atom
Energy relative to the lowest polymorph listed for this composition ... 1.01 eV per formula unit

a b c (Å): 6.251 6.891 3.082
angles (deg): 90.00 90.00 90.00
Space group Pnnm (No. 58)
One atom of each set of equivalent atoms:
Be1 0.000 0.000 0.000 (multiplicity 2)
Cl1 0.184 0.129 0.500 (multiplicity 4)

---

No. 5
GdHoRh2: relaxed, GGA-PBE.

Values from the calculation:
VASP energy ... -9.19 eV/atom
E_form ... -0.8465 eV per atom
Energy relative to the lowest polymorph listed for this composition ... 0.00 eV per formula unit

a b c (Å): 6.870 6.870 6.870
angles (deg): 90.00 90.00 90.00
Space group Fm-3m (No. 225)
One atom of each set of equivalent atoms:
Gd1 0.000 0.000 0.000 (multiplicity 4)
Ho1 0.000 0.000 0.500 (multiplicity 4)
Rh1 0.250 0.250 0.250 (multiplicity 8)

---

No. 6
Ba6As2AuN: relaxed, GGA-PBE.

Values from the calculation:
VASP energy ... -3.99 eV/atom
Energy relative to the elements, uncorrected ... -0.748 eV per atom

a b c (Å): 7.716 8.617 13.191
angles (deg): 90.00 122.76 90.00
Space group P2_1/c (No. 14)
One atom of each set of equivalent atoms:
Ba1 0.080 0.052 0.227 (multiplicity 4)
Ba2 0.221 0.709 0.071 (multiplicity 4)
Ba3 0.363 0.166 0.065 (multiplicity 4)
As1 0.308 0.104 0.757 (multiplicity 4)
Au1 0.500 0.000 0.500 (multiplicity 2)
N1 0.000 0.000 0.000 (multiplicity 2)

---

No. 7
CdCuRu2Cl: relaxed, GGA-PBE.

Values from the calculation:
VASP energy ... -3.85 eV/atom
Energy relative to the elements, uncorrected ... 1.236 eV per atom

a b c (Å): 4.314 4.314 5.108
angles (deg): 90.00 90.00 90.00
Space group P4/mmm (No. 123)
One atom of each set of equivalent atoms:
Cd1 0.000 0.000 0.000 (multiplicity 1)
Cu1 0.500 0.500 0.000 (multiplicity 1)
Ru1 0.000 0.500 0.500 (multiplicity 2)
Cl1 0.000 0.000 0.500 (multiplicity 1)

---

No. 8
YMnSi3Os: relaxed, GGA-PBE.

Values from the calculation:
VASP energy ... -7.48 eV/atom
Energy relative to the elements, uncorrected ... -0.289 eV per atom

a b c (Å): 7.526 10.650 5.406
angles (deg): 90.00 90.00 90.00
Space group Cmcm (No. 63)
One atom of each set of equivalent atoms:
Y1 0.000 0.245 0.250 (multiplicity 4)
Mn1 0.000 0.044 0.750 (multiplicity 4)
Si1 0.000 0.242 0.750 (multiplicity 4)
Si2 0.239 0.000 0.000 (multiplicity 8)
Os1 0.000 0.451 0.750 (multiplicity 4)